[1]
! GGA-PBE CuOsSe, relaxed; values from VASP
! * distance to the lowest polymorph of the same formula: 287 meV per atom
! * raw formation energy: 733 meV/atom
&SYSTEM
  ibrav = 0, nat = 3, ntyp = 3
/
ATOMIC_SPECIES
Cu 63.55 Cu.upf
Os 190.23 Os.upf
Se 78.96 Se.upf
CELL_PARAMETERS angstrom
0.000 2.447 6.719
1.435 0.000 6.719
1.435 2.447 0.000
ATOMIC_POSITIONS crystal
Cu 0.000 0.000 0.000
Os 0.659 0.659 0.341
Se 0.315 0.315 0.685


[2]
! GGA-PBE In2FeSnCl, relaxed; values from VASP
! * distance to the lowest polymorph of the same formula: 0 meV per atom
! * raw formation energy: -169 meV/atom
&SYSTEM
  ibrav = 0, nat = 5, ntyp = 4
/
ATOMIC_SPECIES
In 114.82 In.upf
Fe 55.84 Fe.upf
Sn 118.71 Sn.upf
Cl 35.45 Cl.upf
CELL_PARAMETERS angstrom
5.072 0.000 0.000
0.000 5.072 0.000
0.000 0.000 4.863
ATOMIC_POSITIONS crystal
In 0.000 0.500 0.000
In 0.500 0.000 0.000
Fe 0.000 0.000 0.000
Sn 0.000 0.000 0.500
Cl 0.500 0.500 0.500


[3]
! GGA-PBE NaCdIn2I5, relaxed; values from VASP
! * raw formation energy: -672 meV/atom
&SYSTEM
  ibrav = 0, nat = 18, ntyp = 4
/
ATOMIC_SPECIES
Na 22.99 Na.upf
Cd 112.41 Cd.upf
In 114.82 In.upf
I 126.90 I.upf
CELL_PARAMETERS angstrom
2.301 -10.687 0.000
2.301 10.687 0.000
0.000 0.000 14.991
ATOMIC_POSITIONS crystal
Na 0.203 0.797 0.500
Na 0.797 0.203 0.000
Cd 0.444 0.556 0.893
Cd 0.556 0.444 0.393
In 0.139 0.861 0.144
In 0.139 0.861 0.800
In 0.861 0.139 0.300
In 0.861 0.139 0.644
I 0.041 0.959 0.507
I 0.294 0.706 0.147
I 0.316 0.684 0.845
I 0.351 0.649 0.483
I 0.482 0.518 0.242
I 0.518 0.482 0.742
I 0.649 0.351 0.983
I 0.684 0.316 0.345
I 0.706 0.294 0.647
I 0.959 0.041 0.007


[4]
! GGA-PBE NaSr2Mg2In5, relaxed; values from VASP
! * formation enthalpy at 0 K: -5.74 kcal/mol of atoms
&SYSTEM
  ibrav = 0, nat = 20, ntyp = 4
/
ATOMIC_SPECIES
Na 22.99 Na.upf
Sr 87.62 Sr.upf
Mg 24.30 Mg.upf
In 114.82 In.upf
CELL_PARAMETERS angstrom
11.150 0.000 0.000
0.000 11.150 0.000
0.000 0.000 4.551
ATOMIC_POSITIONS crystal
Na 0.000 0.000 0.000
Na 0.500 0.500 0.000
Sr 0.179 0.321 0.000
Sr 0.321 0.821 0.000
Sr 0.679 0.179 0.000
Sr 0.821 0.679 0.000
Mg 0.116 0.616 0.000
Mg 0.384 0.116 0.000
Mg 0.616 0.884 0.000
Mg 0.884 0.384 0.000
In 0.000 0.500 0.500
In 0.062 0.795 0.500
In 0.205 0.062 0.500
In 0.295 0.562 0.500
In 0.438 0.295 0.500
In 0.500 0.000 0.500
In 0.562 0.705 0.500
In 0.705 0.438 0.500
In 0.795 0.938 0.500
In 0.938 0.205 0.500


[5]
! GGA-PBE ZnPd2O4, relaxed; values from VASP
! * raw formation energy: -506 meV/atom
&SYSTEM
  ibrav = 0, nat = 14, ntyp = 3
/
ATOMIC_SPECIES
Zn 65.41 Zn.upf
Pd 106.42 Pd.upf
O 16.00 O.upf
CELL_PARAMETERS angstrom
-3.166 3.288 3.960
3.166 -3.288 3.960
3.166 3.288 -3.960
ATOMIC_POSITIONS crystal
Zn 0.000 0.000 0.000
Zn 0.500 0.000 0.500
Pd 0.000 0.000 0.500
Pd 0.000 0.500 0.000
Pd 0.400 0.650 0.750
Pd 0.600 0.350 0.250
O 0.189 0.734 0.455
O 0.222 0.266 0.955
O 0.258 0.219 0.460
O 0.258 0.798 0.040
O 0.742 0.202 0.960
O 0.742 0.781 0.540
O 0.778 0.734 0.045
O 0.811 0.266 0.545


[6]
! GGA-PBE Cd2HgAu, relaxed; values from VASP
! * distance to the lowest polymorph of the same formula: 27 meV per atom
! * formation enthalpy at 0 K: -1.25 kcal/mol of atoms
&SYSTEM
  ibrav = 0, nat = 4, ntyp = 3
/
ATOMIC_SPECIES
Cd 112.41 Cd.upf
Hg 200.59 Hg.upf
Au 196.97 Au.upf
CELL_PARAMETERS angstrom
3.292 0.000 0.000
0.000 4.806 0.000
-0.005 0.000 5.304
ATOMIC_POSITIONS crystal
Cd 0.000 0.000 0.000
Cd 0.001 0.500 0.640
Hg 0.501 0.000 0.488
Au 0.499 0.500 0.131


[7]
! GGA-PBE La3ZrGa, relaxed; values from VASP
! * formation enthalpy at 0 K: 10.75 kcal/mol of atoms
&SYSTEM
  ibrav = 0, nat = 5, ntyp = 3
/
ATOMIC_SPECIES
La 138.91 La.upf
Zr 91.22 Zr.upf
Ga 69.72 Ga.upf
CELL_PARAMETERS angstrom
5.792 0.000 0.000
0.000 5.792 0.000
0.000 0.000 5.792
ATOMIC_POSITIONS crystal
La 0.000 0.000 0.500
La 0.000 0.500 0.000
La 0.500 0.000 0.000
Zr 0.500 0.500 0.500
Ga 0.000 0.000 0.000


[8]
! GGA-PBE CuGeP, relaxed; values from VASP
! * distance to the lowest polymorph of the same formula: 50 meV per atom
! * formation enthalpy at 0 K: 3.64 kcal/mol of atoms
&SYSTEM
  ibrav = 0, nat = 3, ntyp = 3
/
ATOMIC_SPECIES
Cu 63.55 Cu.upf
Ge 72.64 Ge.upf
P 30.97 P.upf
CELL_PARAMETERS angstrom
3.730 -1.315 0.000
3.730 1.315 0.000
-0.145 0.000 5.268
ATOMIC_POSITIONS crystal
Cu 0.000 0.000 0.000
Ge 0.729 0.729 0.693
P 0.729 0.729 0.210